# 1
A plane-wave DFT calculation with GGA-PBE was carried out for an optimized crystal structure of YBePt3.

Values from the calculation:
ΔE to the lowest computed polymorph	0.46	eV per formula unit
energy relative to the elements	-865	meV/atom
mass density	13.415	g/cm3
total magnetic moment	0.00	μB per formula unit
SG	R-3m (166)

a b c (Å): 4.419 4.419 4.419
angles (deg): 83.09 83.09 83.09
Element x y z (fractional)
Y  0.000  0.000  0.000
Be  0.500  0.500  0.500
Pt  0.000  0.500  0.500
Pt  0.500  0.000  0.500
Pt  0.500  0.500  0.000

# 2
A plane-wave DFT calculation with GGA-PBE was carried out for an optimized crystal structure of KZn5Au7.

Values from the calculation:
energy relative to the elements	-186	meV/atom
mass density	12.326	g/cm3
total magnetic moment	0.00	μB per formula unit
SG	Imm2 (44)

a b c (Å): 7.122 7.122 7.122
angles (deg): 135.27 97.77 98.88
Element x y z (fractional)
K  0.000  0.000  0.000
Zn  0.011  0.014  0.502
Zn  0.011  0.509  0.997
Zn  0.233  0.733  0.500
Zn  0.512  0.014  0.003
Zn  0.512  0.509  0.498
Au  0.226  0.518  0.708
Au  0.338  0.338  0.000
Au  0.344  0.000  0.345
Au  0.655  0.000  0.655
Au  0.655  0.655  0.000
Au  0.781  0.281  0.500
Au  0.810  0.518  0.292

# 3
A plane-wave DFT calculation with GGA-PBE was carried out for an optimized crystal structure of TlMo3As.

Values from the calculation:
ΔE to the lowest computed polymorph	7.80	eV per formula unit
energy relative to the elements	2633	meV/atom
mass density	6.625	g/cm3
total magnetic moment	9.99	μB per formula unit
SG	Pm-3m (221)

a b c (Å): 5.219 5.219 5.219
angles (deg): 90.00 90.00 90.00
Element x y z (fractional)
Tl  0.000  0.000  0.000
Mo  0.000  0.000  0.500
Mo  0.000  0.500  0.000
Mo  0.500  0.000  0.000
As  0.500  0.500  0.500

# 4
A plane-wave DFT calculation with GGA-PBE was carried out for an optimized crystal structure of ThAl12Ir4.

Values from the calculation:
energy relative to the elements	-226	meV/atom
mass density	6.453	g/cm3
total magnetic moment	0.00	μB per formula unit
SG	Im-3 (204)

a b c (Å): 7.622 7.622 7.622
angles (deg): 109.47 109.47 109.47
Element x y z (fractional)
Th  0.000  0.000  0.000
Al  0.166  0.334  0.832
Al  0.168  0.503  0.334
Al  0.168  0.834  0.666
Al  0.334  0.168  0.503
Al  0.334  0.832  0.166
Al  0.497  0.666  0.832
Al  0.503  0.334  0.168
Al  0.666  0.168  0.834
Al  0.666  0.832  0.497
Al  0.832  0.166  0.334
Al  0.832  0.497  0.666
Al  0.834  0.666  0.168
Ir  0.000  0.000  0.500
Ir  0.000  0.500  0.000
Ir  0.500  0.000  0.000
Ir  0.500  0.500  0.500

- The lowest energy relative to the elements belongs to which entry?
  YBePt3